1.
VASP calculation (GGA-PBE) on a relaxed YBi3Se6 crystal.

Unit cell a=4.1320 b=12.2690 c=12.1986 alpha=107.57 beta=90.00 gamma=90.00
Last column: nearest neighbours and their distance in Å.
Sites, in units of the cell vectors:
1 Bi 0.2500 0.5682 0.1632  4 Se 2.83-3.12
2 Se 0.2500 0.9001 0.5347  3 Y 2.95-3.04, 2 Bi 3.12
3 Se 0.7500 0.8095 0.7429  2 Bi 2.80, 1 Y 3.07
4 Bi 0.7500 0.1507 0.0953  3 Se 2.79-2.80
5 Se 0.7500 0.0999 0.4653  3 Y 2.95-3.04, 2 Bi 3.12
6 Se 0.2500 0.1905 0.2571  2 Bi 2.80, 1 Y 3.07
7 Bi 0.7500 0.4318 0.8368  4 Se 2.83-3.12
8 Se 0.7500 0.9296 0.1149  1 Bi 2.79, 2 Y 3.10
9 Se 0.2500 0.2312 0.7256  1 Bi 2.80, 2 Y 3.08
10 Bi 0.2500 0.2993 0.5264  5 Se 2.80-3.12
11 Se 0.7500 0.7688 0.2744  1 Bi 2.80, 2 Y 3.08
12 Se 0.2500 0.0704 0.8851  1 Bi 2.79, 2 Y 3.10
13 Se 0.2500 0.5342 0.3836  3 Bi 2.84-2.88
14 Bi 0.2500 0.8493 0.9047  3 Se 2.79-2.80
15 Se 0.7500 0.4061 0.0838  3 Bi 2.83-3.12
16 Se 0.7500 0.4658 0.6164  3 Bi 2.84-2.88
17 Y 0.7500 0.0375 0.6879  8 Se 2.95-3.10
18 Se 0.2500 0.5939 0.9162  3 Bi 2.83-3.12
19 Y 0.2500 0.9625 0.3121  8 Se 2.95-3.10
20 Bi 0.7500 0.7007 0.4736  5 Se 2.80-3.12

2.
VASP calculation (GGA-PBE) on a relaxed Y5Bi4Se crystal.

Unit cell a=6.2559 b=7.6306 c=7.6306 alpha=80.33 beta=65.80 gamma=65.80
Last column: nearest neighbours and their distance in Å.
Sites, in units of the cell vectors:
1 Se 0.0011 0.0000 0.0000  6 Y 3.01-3.13
2 Y 0.9012 0.3884 0.8111  1 Se 3.01, 5 Bi 3.13-3.17
3 Y 0.5015 0.0000 0.0000  4 Bi 3.12, 2 Se 3.13
4 Y 0.1008 0.6116 0.1889  1 Se 3.01, 5 Bi 3.13-3.17
5 Bi 0.1989 0.2069 0.3972  6 Y 3.12-3.17
6 Bi 0.4058 0.3972 0.7931  6 Y 3.12-3.17
7 Bi 0.8030 0.7931 0.6028  6 Y 3.12-3.17
8 Y 0.7123 0.1889 0.3884  1 Se 3.01, 5 Bi 3.13-3.17
9 Y 0.2897 0.8111 0.6116  1 Se 3.01, 5 Bi 3.13-3.17
10 Bi 0.5961 0.6028 0.2069  6 Y 3.12-3.17

3.
VASP calculation (GGA-PBE) on a relaxed YBiSe2 crystal.

Unit cell a=9.3659 b=9.3659 c=9.3659 alpha=24.76 beta=24.76 gamma=24.76
Last column: nearest neighbours and their distance in Å.
Sites, in units of the cell vectors:
1 Y 0.5000 0.5000 0.5000  6 Se 2.84
2 Se 0.8936 0.8936 0.8936  3 Y 2.84, 1 Bi 2.90
3 Se 0.1064 0.1064 0.1064  3 Y 2.84, 1 Bi 2.90
4 Bi 0.0000 0.0000 0.0000  2 Se 2.90

4.
VASP calculation (GGA-PBE) on a relaxed Y3Bi2Se2 crystal.

Unit cell a=4.0782 b=7.6681 c=8.2489 alpha=111.63 beta=104.31 gamma=90.00
Last column: nearest neighbours and their distance in Å.
Sites, in units of the cell vectors:
1 Y 0.7377 0.2610 0.4755  3 Se 2.81-2.90
2 Y 0.2623 0.7390 0.5245  3 Se 2.81-2.90
3 Se 0.1387 0.3473 0.2774  4 Y 2.81-2.90
4 Bi 0.6194 0.8221 0.2388  5 Y 3.17-3.30
5 Y 0.0000 0.5000 0.0000  2 Se 2.87, 4 Bi 3.21
6 Se 0.8613 0.6527 0.7226  4 Y 2.81-2.90
7 Bi 0.3806 0.1779 0.7612  5 Y 3.17-3.30

no.,formation energy (no corrections) (eV/atom)
1,-0.742
2,-1.063
3,-1.118
4,-1.181